#i
Crystalline TbNdNi at its relaxed geometry, computed with GGA-PBE.

Cell lengths 3.913, 3.913, 6.365 Å; angles 90.00, 90.00, 120.00 degrees
Element x y z (fractional)
Tb1 0.000 0.000 0.000
Nd1 0.667 0.333 0.505
Ni1 0.333 0.667 0.762

Output
D(E_F): 2.97 states/eV/f.u.
Total magnetic moment: 0.00 μB/f.u.

#ii
Crystalline TbNdNi at its relaxed geometry, computed with GGA-PBE.

Cell lengths 3.468, 6.706, 7.012 Å; angles 76.79, 89.84, 75.08 degrees
Element x y z (fractional)
Tb1 0.131 0.237 0.071
Tb2 0.869 0.763 0.929
Nd1 0.128 0.248 0.565
Nd2 0.872 0.752 0.435
Ni1 0.491 0.513 0.212
Ni2 0.509 0.487 0.788

Output
D(E_F): 3.39 states/eV/f.u.
Total magnetic moment: 0.00 μB/f.u.

#iii
Crystalline TbNdNi at its relaxed geometry, computed with GGA-PBE.

Cell lengths 3.623, 6.509, 8.151 Å; angles 66.87, 77.20, 89.97 degrees
Element x y z (fractional)
Tb1 0.122 0.120 0.257
Tb2 0.878 0.880 0.743
Nd1 0.371 0.375 0.753
Nd2 0.629 0.625 0.247
Ni1 0.500 0.185 0.500
Ni2 0.500 0.815 0.500

Output
D(E_F): 4.49 states/eV/f.u.
Total magnetic moment: 0.01 μB/f.u.

Best to worst by energy: #ii, #i, #iii.

#i
Crystalline TbNdNi at its relaxed geometry, computed with GGA-PBE.

Cell lengths 6.795, 6.795, 6.795 Å; angles 150.41, 150.41, 42.34 degrees
Element x y z (fractional)
Tb1 0.000 0.000 0.000
Nd1 0.739 0.739 0.000
Ni1 0.380 0.380 0.000

Output
D(E_F): 3.58 states/eV/f.u.
Total magnetic moment: 0.00 μB/f.u.

#ii
Crystalline TbNdNi at its relaxed geometry, computed with GGA-PBE.

Cell lengths 4.834, 4.834, 4.834 Å; angles 60.00, 60.00, 60.00 degrees
Element x y z (fractional)
Tb1 0.000 0.000 0.000
Nd1 0.500 0.500 0.500
Ni1 0.250 0.250 0.250

Output
D(E_F): 3.22 states/eV/f.u.
Total magnetic moment: 0.00 μB/f.u.

Best to worst by energy: #i, #ii.

#i
Crystalline NdThNi at its relaxed geometry, computed with GGA-PBE.

Cell lengths 10.574, 6.573, 11.755 Å; angles 63.24, 33.71, 83.05 degrees
Element x y z (fractional)
Nd1 0.108 0.892 0.320
Nd2 0.570 0.930 0.358
Nd3 0.892 0.108 0.680
Nd4 0.930 0.570 0.142
Th1 0.315 0.341 0.531
Th2 0.341 0.315 0.813
Th3 0.437 0.719 0.909
Th4 0.719 0.437 0.935
Ni1 0.043 0.459 0.861
Ni2 0.389 0.613 0.207
Ni3 0.459 0.043 0.637
Ni4 0.613 0.389 0.791

Output
D(E_F): 3.63 states/eV/f.u.
Total magnetic moment: 0.00 μB/f.u.

#ii
Crystalline NdThNi at its relaxed geometry, computed with GGA-PBE.

Cell lengths 6.430, 6.430, 6.430 Å; angles 147.48, 147.48, 46.65 degrees
Element x y z (fractional)
Nd1 0.000 0.000 0.000
Th1 0.286 0.286 0.000
Ni1 0.679 0.679 0.000

Output
D(E_F): 4.93 states/eV/f.u.
Total magnetic moment: 0.00 μB/f.u.

#iii
Crystalline NdThNi at its relaxed geometry, computed with GGA-PBE.

Cell lengths 3.785, 3.785, 6.555 Å; angles 90.00, 90.00, 120.00 degrees
Element x y z (fractional)
Nd1 0.000 0.000 0.000
Th1 0.333 0.667 0.542
Ni1 0.667 0.333 0.289

Output
D(E_F): 3.19 states/eV/f.u.
Total magnetic moment: 0.00 μB/f.u.

Best to worst by energy: #ii, #iii, #i.

#i
Crystalline NdTh2Ni at its relaxed geometry, computed with GGA-PBE.

Cell lengths 7.095, 9.960, 6.287 Å; angles 90.00, 90.00, 90.00 degrees
Element x y z (fractional)
Nd1 0.046 0.250 0.156
Nd2 0.454 0.750 0.656
Nd3 0.546 0.250 0.344
Nd4 0.954 0.750 0.844
Th1 0.185 0.064 0.653
Th2 0.185 0.436 0.653
Th3 0.315 0.564 0.153
Th4 0.315 0.936 0.153
Th5 0.685 0.064 0.847
Th6 0.685 0.436 0.847
Th7 0.815 0.564 0.347
Th8 0.815 0.936 0.347
Ni1 0.101 0.750 0.381
Ni2 0.399 0.250 0.881
Ni3 0.601 0.750 0.119
Ni4 0.899 0.250 0.619

Output
D(E_F): 5.12 states/eV/f.u.
Total magnetic moment: 0.00 μB/f.u.

#ii
Crystalline NdTh2Ni at its relaxed geometry, computed with GGA-PBE.

Cell lengths 9.593, 9.593, 9.593 Å; angles 22.82, 22.82, 22.82 degrees
Element x y z (fractional)
Nd1 0.000 0.000 0.000
Th1 0.565 0.565 0.565
Th2 0.774 0.774 0.774
Ni1 0.169 0.169 0.169

Output
D(E_F): 6.94 states/eV/f.u.
Total magnetic moment: 0.00 μB/f.u.

Best to worst by energy: #i, #ii.

#i
Crystalline NdTh2Ni6 at its relaxed geometry, computed with GGA-PBE.

Cell lengths 7.081, 7.081, 3.824 Å; angles 90.00, 90.00, 120.00 degrees
Element x y z (fractional)
Nd1 0.000 0.000 0.000
Th1 0.333 0.667 0.000
Th2 0.667 0.333 0.000
Ni1 0.000 0.336 0.500
Ni2 0.000 0.664 0.500
Ni3 0.336 0.000 0.500
Ni4 0.336 0.336 0.500
Ni5 0.664 0.000 0.500
Ni6 0.664 0.664 0.500

Output
D(E_F): 12.80 states/eV/f.u.
Total magnetic moment: 0.00 μB/f.u.

#ii
Crystalline NdTh2Ni6 at its relaxed geometry, computed with GGA-PBE.

Cell lengths 7.638, 7.638, 7.638 Å; angles 152.41, 125.03, 62.60 degrees
Element x y z (fractional)
Nd1 0.000 0.000 0.000
Th1 0.354 0.854 0.500
Th2 0.646 0.146 0.500
Ni1 0.018 0.326 0.692
Ni2 0.323 0.500 0.823
Ni3 0.365 0.674 0.692
Ni4 0.635 0.326 0.308
Ni5 0.677 0.500 0.177
Ni6 0.982 0.674 0.308

Output
D(E_F): 6.56 states/eV/f.u.
Total magnetic moment: 0.00 μB/f.u.

Best to worst by energy: #i, #ii.

#i
Crystalline NdThNi4 at its relaxed geometry, computed with GGA-PBE.

Cell lengths 3.841, 4.097, 7.042 Å; angles 90.00, 90.00, 90.00 degrees
Element x y z (fractional)
Nd1 0.000 0.000 0.000
Th1 0.000 0.500 0.500
Ni1 0.500 0.000 0.335
Ni2 0.500 0.000 0.665
Ni3 0.500 0.500 0.170
Ni4 0.500 0.500 0.830

Output
D(E_F): 8.44 states/eV/f.u.
Total magnetic moment: 0.00 μB/f.u.

#ii
Crystalline NdThNi4 at its relaxed geometry, computed with GGA-PBE.

Cell lengths 5.172, 5.172, 5.172 Å; angles 60.00, 60.00, 60.00 degrees
Element x y z (fractional)
Nd1 0.000 0.000 0.000
Th1 0.250 0.250 0.250
Ni1 0.127 0.624 0.624
Ni2 0.624 0.127 0.624
Ni3 0.624 0.624 0.127
Ni4 0.624 0.624 0.624

Output
D(E_F): 2.94 states/eV/f.u.
Total magnetic moment: 0.00 μB/f.u.

Best to worst by energy: #i, #ii.

#i
Crystalline Nd5Tl2Ni at its relaxed geometry, computed with GGA-PBE.

Cell lengths 6.829, 6.827, 7.190 Å; angles 58.24, 58.22, 63.54 degrees
Element x y z (fractional)
Nd1 0.000 0.000 0.000
Nd2 0.489 0.989 0.511
Nd3 0.490 0.991 0.009
Nd4 0.989 0.489 0.011
Nd5 0.991 0.490 0.510
Tl1 0.489 0.489 0.011
Tl2 0.989 0.989 0.511
Ni1 0.390 0.390 0.610

Output
D(E_F): 8.46 states/eV/f.u.
Total magnetic moment: 0.00 μB/f.u.

#ii
Crystalline Nd5Tl2Ni at its relaxed geometry, computed with GGA-PBE.

Cell lengths 7.759, 12.629, 4.880 Å; angles 90.00, 90.00, 90.00 degrees
Element x y z (fractional)
Nd1 0.000 0.000 0.000
Nd2 0.127 0.295 0.000
Nd3 0.178 0.574 0.500
Nd4 0.322 0.074 0.500
Nd5 0.373 0.795 0.000
Nd6 0.500 0.500 0.000
Nd7 0.627 0.205 0.000
Nd8 0.678 0.926 0.500
Nd9 0.822 0.426 0.500
Nd10 0.873 0.705 0.000
Tl1 0.090 0.835 0.500
Tl2 0.410 0.335 0.500
Tl3 0.590 0.665 0.500
Tl4 0.910 0.165 0.500
Ni1 0.000 0.500 0.000
Ni2 0.500 0.000 0.000

Output
D(E_F): 8.64 states/eV/f.u.
Total magnetic moment: 0.00 μB/f.u.

Best to worst by energy: #ii, #i.

#i
Crystalline Nd8Tl2Ni at its relaxed geometry, computed with GGA-PBE.

Cell lengths 9.968, 9.968, 7.004 Å; angles 102.68, 102.68, 30.07 degrees
Element x y z (fractional)
Nd1 0.013 0.013 0.279
Nd2 0.210 0.210 0.812
Nd3 0.355 0.355 0.511
Nd4 0.410 0.410 0.036
Nd5 0.590 0.590 0.964
Nd6 0.645 0.645 0.489
Nd7 0.790 0.790 0.188
Nd8 0.987 0.987 0.721
Tl1 0.183 0.183 0.255
Tl2 0.817 0.817 0.745
Ni1 0.500 0.500 0.500

Output
D(E_F): 12.27 states/eV/f.u.
Total magnetic moment: 0.00 μB/f.u.

#ii
Crystalline Nd8Tl2Ni at its relaxed geometry, computed with GGA-PBE.

Cell lengths 9.410, 9.410, 5.864 Å; angles 107.84, 107.84, 122.23 degrees
Element x y z (fractional)
Nd1 0.000 0.000 0.000
Nd2 0.065 0.293 0.604
Nd3 0.108 0.705 0.791
Nd4 0.293 0.065 0.604
Nd5 0.512 0.512 0.362
Nd6 0.561 0.790 0.030
Nd7 0.705 0.108 0.791
Nd8 0.790 0.561 0.030
Tl1 0.205 0.602 0.295
Tl2 0.602 0.205 0.295
Ni1 0.900 0.900 0.460

Output
D(E_F): 11.15 states/eV/f.u.
Total magnetic moment: 0.00 μB/f.u.

Best to worst by energy: #ii, #i.